Record 1
VASP calculation (PBEsol) on an optimized crystal structure of Ba2LiCu2.

Lattice parameters (Å, degrees): 4.3917 8.1789 8.1789 90.00 90.00 90.00
Closest atoms and distances in Å follow each position.
Element x y z (fractional)
Ba (0.5000, 0.1807, 0.6807)  6 Cu 3.27-3.30
Ba (0.5000, 0.6807, 0.8193)  6 Cu 3.27-3.30
Ba (0.5000, 0.8193, 0.3193)  6 Cu 3.27-3.30
Ba (0.5000, 0.3193, 0.1807)  6 Cu 3.27-3.30
Cu (0.0000, 0.3940, 0.8940)  1 Cu 2.45
Cu (0.0000, 0.8940, 0.6060)  1 Cu 2.45
Cu (0.0000, 0.6060, 0.1060)  1 Cu 2.45
Cu (0.0000, 0.1060, 0.3940)  1 Cu 2.45
Li (0.0000, 0.0000, 0.0000)  4 Cu 3.34, 8 Ba 3.72
Li (0.0000, 0.5000, 0.5000)  4 Cu 3.34, 8 Ba 3.72

Its electronic total energy is -0.2144 Ry/atom. The value obtained for the total magnetization is 0.0 μB/f.u. As for the density of states at the Fermi level: 0.5932 states/eV per atom.

Record 2
VASP calculation (PBEsol) on an optimized crystal structure of NaCdSn.

Lattice parameters (Å, degrees): 4.9146 6.0989 6.0989 72.45 66.24 66.24
Closest atoms and distances in Å follow each position.
Element x y z (fractional)
Na (0.4226, 0.5774, 0.5774)  6 Sn 3.31-3.35, 6 Cd 3.37-3.53, 2 Na 3.65
Na (0.3561, 0.1439, 0.1439)  6 Cd 3.29-3.36, 6 Sn 3.43-3.46, 2 Na 3.65
Sn (0.7224, 0.9856, 0.5696)  3 Cd 2.86, 1 Sn 3.00
Sn (0.7224, 0.5696, 0.9856)  3 Cd 2.86, 1 Sn 3.00
Cd (0.0519, 0.7293, 0.1670)  3 Sn 2.86, 1 Cd 3.16
Cd (0.0519, 0.1670, 0.7293)  3 Sn 2.86, 1 Cd 3.16

Its electronic total energy is -0.1808 Ry/atom. The value obtained for the total magnetization is 0.0 μB/f.u. As for the density of states at the Fermi level: 0.2540 states/eV per atom.

Record 3
VASP calculation (PBEsol) on an optimized crystal structure of BaB3O.

Lattice parameters (Å, degrees): 5.1755 5.1755 5.1755 90.00 90.00 90.00
Closest atoms and distances in Å follow each position.
Element x y z (fractional)
B (0.0000, 0.5000, 0.0000)  2 Ba 2.59
B (0.0000, 0.0000, 0.5000)  2 Ba 2.59
B (0.5000, 0.0000, 0.0000)  2 Ba 2.59
Ba (0.0000, 0.0000, 0.0000)  6 B 2.59
O (0.5000, 0.5000, 0.5000)  12 B 3.66

Its uncorrected formation energy is 3396 meV per atom. The value obtained for the total magnetization is 1.0 μB/f.u. As for the density of states at the Fermi level: 0.8351 states/eV per atom.

Record 4
VASP calculation (PBEsol) on an optimized crystal structure of Bi3MoAu.

Lattice parameters (Å, degrees): 5.2678 5.2678 5.2678 90.00 90.00 90.00
Closest atoms and distances in Å follow each position.
Element x y z (fractional)
Mo (0.0000, 0.0000, 0.0000)  6 Bi 2.63
Au (0.5000, 0.5000, 0.5000)  12 Bi 3.72
Bi (0.0000, 0.5000, 0.0000)  2 Mo 2.63
Bi (0.0000, 0.0000, 0.5000)  2 Mo 2.63
Bi (0.5000, 0.0000, 0.0000)  2 Mo 2.63

Its electronic total energy is -0.3676 Ry/atom. The value obtained for the total magnetization is 0.0 μB/f.u. As for the density of states at the Fermi level: 0.7651 states/eV per atom.